Run 1
LaY2MgIr | Alexandria via LeMat-Bulk | PBE | optimized geometry; SG = P4/mmm
1.0
-4.252 3.288 0.002
-0.813 -1.055 5.208
3.117 4.030 1.303
Y Mg La Ir
2 1 1 1
Direct
0.000 0.500 0.000
0.500 0.000 0.000
0.000 0.000 0.500
0.500 0.500 0.500
0.000 0.000 0.000

***

Run 2
LaY2MgIr | Alexandria via LeMat-Bulk | PBE | optimized geometry; SG = P4/mmm
1.0
-5.184 0.409 -1.727
1.720 -0.155 -5.200
-0.441 -5.511 0.018
Y Ir La Mg
2 1 1 1
Direct
0.500 0.000 0.000
0.000 0.500 0.000
0.000 0.000 0.000
0.000 0.000 0.500
0.500 0.500 0.500

***

Stability check: which of them is least stable? run 1.

***

Run 1
La2MoIr | Alexandria via LeMat-Bulk | PBE | optimized geometry; SG = P4/mmm
1.0
-1.543 0.957 3.201
0.488 -3.424 1.259
6.413 1.848 2.539
La Ir Mo
2 1 1
Direct
0.000 0.000 0.982
0.000 0.000 0.518
0.500 0.500 0.750
0.500 0.500 0.250

***

Run 2
La2MoIr | Alexandria via LeMat-Bulk | PBE | optimized geometry; SG = Pmmm
1.0
-4.137 -1.180 2.562
2.825 -1.962 3.657
0.105 3.305 1.692
La Ir Mo
2 1 1
Direct
0.500 0.500 0.000
0.000 0.000 0.000
0.000 0.500 0.500
0.500 0.000 0.500

***

Run 3
La2MoIr | Alexandria via LeMat-Bulk | PBE | optimized geometry; SG = Amm2
1.0
-1.793 2.208 3.255
-4.275 -1.356 -1.435
-1.819 -4.947 2.353
Mo La Ir
1 2 1
Direct
0.000 0.677 0.520
0.000 0.977 0.921
0.500 0.278 0.319
0.500 0.568 0.739

***

Run 4
La2MoIr | Alexandria via LeMat-Bulk | PBE | optimized geometry; SG = C2/m
1.0
-0.384 4.458 3.409
-4.352 -0.142 -3.561
-2.468 -0.782 1.921
Ir Mo La
1 1 2
Direct
0.000 0.500 0.500
0.500 0.000 0.500
0.000 0.000 0.000
0.500 0.500 0.000

***

Stability check: which of them is least stable? run 4.